DFT (GGA+U) results for NpNiAsO6 after structural relaxation.

Output
Density = 6.91 Mg/m³
Volume = 224 Å³/cell
Total DFT energy (no corrections) = -7.191 eV/atom
N(E_F) = 0.35 states/eV/f.u.

Lattice parameters (Å, degrees): 5.4356 5.4356 8.7646 90.00 90.00 120.00
Space group P-31c (No. 163)
Unique sites:
1 Np 0.3333 0.6667 0.2500 [2 per cell]
2 Ni 0.0000 0.0000 0.0000 [2 per cell]
3 As 0.3333 0.6667 0.7500 [2 per cell]
4 O 0.0085 0.3453 0.1310 [12 per cell]